{
  "formula": "Nb2FeNiH",
  "functional": "PBE",
  "state": "optimized geometry",
  "cell": [[4.164, 0.000, 0.000], [0.000, 4.164, 0.000], [0.000, 0.000, 3.508]],
  "species": ["Nb", "Nb", "H", "Ni", "Fe"],
  "frac_coords": [[0.000, 0.500, 0.000], [0.500, 0.000, 0.000], [0.000, 0.000, 0.000], [0.000, 0.000, 0.500], [0.500, 0.500, 0.500]],
  "e_above_lowest_polymorph_ev_per_fu": 0.000,
  "energy_ev_per_atom": -7.63
}

{
  "formula": "Pm2YTl2Ag2",
  "functional": "PBE",
  "state": "optimized geometry",
  "cell": [[4.898, 0.000, 0.000], [2.449, 4.242, 0.000], [2.449, 1.414, 9.164]],
  "species": ["Ag", "Ag", "Tl", "Tl", "Y", "Pm", "Pm"],
  "frac_coords": [[0.391, 0.391, 0.827], [0.609, 0.609, 0.173], [0.262, 0.262, 0.215], [0.738, 0.738, 0.785], [0.000, 0.000, 0.000], [0.125, 0.125, 0.626], [0.875, 0.875, 0.374]],
  "energy_ev_per_atom": -3.96,
  "formation_energy_ev_per_atom": -0.19
}

{
  "formula": "PmEr8Tm3",
  "functional": "PBE",
  "state": "optimized geometry",
  "cell": [[6.998, 0.497, -4.853], [-2.968, 7.896, -1.272], [-1.688, -0.497, 8.348]],
  "species": ["Er", "Er", "Er", "Er", "Er", "Er", "Er", "Er", "Pm", "Tm", "Tm", "Tm"],
  "frac_coords": [[0.168, 0.419, 0.251], [0.168, 0.917, 0.749], [0.503, 0.257, 0.247], [0.832, 0.083, 0.251], [0.497, 0.743, 0.754], [0.011, 0.257, 0.753], [0.832, 0.581, 0.749], [0.989, 0.743, 0.246], [0.000, 0.000, 0.000], [0.500, 0.743, 0.243], [0.500, 0.257, 0.757], [0.000, 0.500, 0.500]],
  "energy_ev_per_atom": -4.22,
  "formation_energy_ev_per_atom": 0.34
}

{
  "formula": "PtS2Cl2",
  "functional": "PBE",
  "state": "optimized geometry",
  "cell": [[-6.273, -1.819, 5.160], [2.362, -0.541, 6.789], [-4.032, 4.226, 3.301]],
  "species": ["Cl", "Cl", "Cl", "Cl", "S", "S", "S", "S", "Pt", "Pt"],
  "frac_coords": [[0.753, 0.254, 0.634], [0.247, 0.746, 0.366], [0.613, 0.746, 0.634], [0.387, 0.254, 0.366], [0.883, 0.730, 0.000], [0.117, 0.270, 0.000], [0.726, 0.575, 0.000], [0.274, 0.425, 0.000], [0.839, 0.500, 0.321], [0.161, 0.500, 0.679]],
  "formation_energy_uncorrected_mev_per_atom": -91.6,
  "energy_ev_per_atom": -3.69
}

{
  "formula": "MgSnRu",
  "functional": "PBE",
  "state": "optimized geometry",
  "cell": [[-2.154, -2.738, 4.950], [-4.006, -3.322, -3.580], [4.434, -4.653, -0.644]],
  "species": ["Mg", "Mg", "Mg", "Mg", "Ru", "Ru", "Ru", "Ru", "Sn", "Sn", "Sn", "Sn"],
  "frac_coords": [[0.250, 0.752, 0.126], [0.750, 0.252, 0.626], [0.750, 0.248, 0.126], [0.250, 0.748, 0.626], [0.500, 0.000, 0.378], [0.000, 0.500, 0.878], [0.500, 0.500, 0.878], [0.000, 0.000, 0.378], [0.250, 0.249, 0.629], [0.250, 0.251, 0.129], [0.750, 0.749, 0.129], [0.750, 0.751, 0.629]],
  "energy_ev_per_atom": -5.12,
  "formation_energy_ev_per_atom": -0.16
}

{
  "formula": "SmZnCuHg",
  "functional": "PBE",
  "state": "optimized geometry",
  "cell": [[4.804, 0.000, 0.000], [2.402, 4.160, 0.000], [2.402, 1.387, 3.922]],
  "species": ["Zn", "Cu", "Hg", "Sm"],
  "frac_coords": [[0.750, 0.750, 0.750], [0.250, 0.250, 0.250], [0.500, 0.500, 0.500], [0.000, 0.000, 0.000]],
  "energy_ev_per_atom": -2.85,
  "formation_energy_ev_per_atom": -0.25
}

{
  "formula": "MgZrScBe",
  "functional": "PBE",
  "state": "optimized geometry",
  "cell": [[-0.090, 3.243, -3.459], [1.691, -1.071, -4.300], [-2.975, -0.516, -3.657]],
  "species": ["Sc", "Be", "Zr", "Mg"],
  "frac_coords": [[0.000, 0.000, 0.000], [0.750, 0.750, 0.750], [0.500, 0.500, 0.500], [0.250, 0.250, 0.250]],
  "energy_ev_per_atom": -4.97,
  "formation_energy_ev_per_atom": 0.08
}

{
  "formula": "Li6Al2Sn",
  "functional": "PBE",
  "state": "optimized geometry",
  "cell": [[-3.302, 4.217, 0.250], [-1.899, -2.444, 4.380], [4.128, 2.390, 2.451]],
  "species": ["Al", "Al", "Li", "Li", "Li", "Li", "Li", "Li", "Sn"],
  "frac_coords": [[0.657, 0.657, 0.657], [0.343, 0.343, 0.343], [0.167, 0.500, 0.832], [0.167, 0.832, 0.500], [0.500, 0.168, 0.832], [0.500, 0.832, 0.168], [0.833, 0.500, 0.168], [0.833, 0.168, 0.500], [0.000, 0.000, 0.000]],
  "e_above_lowest_polymorph_ev_per_fu": 0.000,
  "energy_ev_per_atom": -2.78,
  "formation_energy_ev_per_atom": -0.23
}

{
  "formula": "Si3Hg",
  "functional": "PBE",
  "state": "optimized geometry",
  "cell": [[3.316, 0.000, 0.000], [0.000, 2.980, -0.042], [0.000, 0.115, 7.491]],
  "species": ["Si", "Si", "Si", "Hg"],
  "frac_coords": [[0.500, 0.001, 0.323], [0.500, 0.999, 0.677], [0.000, 0.500, 0.500], [0.000, 0.000, 0.000]],
  "e_above_lowest_polymorph_ev_per_fu": 0.141,
  "formation_energy_uncorrected_mev_per_atom": 437.7,
  "energy_ev_per_atom": -3.70
}

{
  "formula": "SrHgMo2",
  "functional": "PBE",
  "state": "optimized geometry",
  "cell": [[-5.406, 1.064, 1.835], [1.145, -5.062, -2.605], [0.618, -1.137, 2.481]],
  "species": ["Mo", "Mo", "Hg", "Sr"],
  "frac_coords": [[0.000, 0.000, 0.000], [0.500, 0.500, 0.000], [0.000, 0.500, 0.500], [0.500, 0.000, 0.500]],
  "energy_ev_per_atom": -4.89,
  "formation_energy_ev_per_atom": 1.02
}

{
  "formula": "CsSnBiSe3",
  "functional": "PBE",
  "state": "optimized geometry",
  "cell": [[-2.306, -2.982, 2.002], [0.858, -5.626, -7.391], [8.963, -1.725, 7.753]],
  "species": ["Se", "Se", "Se", "Se", "Se", "Se", "Bi", "Bi", "Cs", "Cs", "Sn", "Sn"],
  "frac_coords": [[0.750, 0.876, 0.217], [0.250, 0.124, 0.783], [0.750, 0.344, 0.590], [0.750, 0.398, 0.099], [0.250, 0.602, 0.901], [0.250, 0.656, 0.410], [0.750, 0.369, 0.851], [0.250, 0.631, 0.149], [0.750, 0.770, 0.729], [0.250, 0.230, 0.271], [0.250, 0.138, 0.563], [0.750, 0.862, 0.437]],
  "formation_energy_uncorrected_mev_per_atom": -678.2,
  "energy_ev_per_atom": -3.88
}

{
  "formula": "HfAlNF2",
  "functional": "PBE",
  "state": "optimized geometry",
  "cell": [[-3.444, -0.798, -2.331], [-0.935, -3.283, 2.506], [-2.254, 2.525, 2.466]],
  "species": ["F", "F", "Al", "N", "Hf"],
  "frac_coords": [[0.000, 0.500, 0.000], [0.500, 0.000, 0.000], [0.500, 0.500, 0.500], [0.000, 0.000, 0.500], [0.000, 0.000, 0.000]],
  "e_above_lowest_polymorph_ev_per_fu": 0.000,
  "formation_energy_uncorrected_mev_per_atom": -1664.2,
  "energy_ev_per_atom": -6.82
}